(1)
# PrTmSbBr2

PrTmSbBr2 after structural relaxation (PBE, OQMD via LeMat-Bulk).

For the total moment, the calculation gives 0.0 μB per cell. The calculation puts the calculated total energy at -4.804 eV per atom.

It has space group P3m1 (No. 156), with a = 4.2790 Å, b = 4.2790 Å, c = 10.9515 Å, α = 90.00°, β = 90.00° and γ = 120.00°. The inequivalent atoms are Pr at (0.0000, 0.0000, 0.0000), Tm at (0.6667, 0.3333, 0.6777), Sb at (0.3333, 0.6667, 0.8269), Br at (0.0000, 0.0000, 0.5269) and Br at (0.6667, 0.3333, 0.1660).


(2)
# PrYSbBr2

PrYSbBr2 after structural relaxation (PBE, OQMD via LeMat-Bulk).

For the total moment, the calculation gives 0.0 μB per cell. The calculation puts the calculated total energy at -5.251 eV per atom.

It has space group P3m1 (No. 156), with a = 4.3111 Å, b = 4.3111 Å, c = 11.0031 Å, α = 90.00°, β = 90.00° and γ = 120.00°. The inequivalent atoms are Pr at (0.0000, 0.0000, 0.0000), Y at (0.6667, 0.3333, 0.6770), Sb at (0.3333, 0.6667, 0.8299), Br at (0.0000, 0.0000, 0.5244) and Br at (0.6667, 0.3333, 0.1638).


(3)
# PrSmSi2Br2

PrSmSi2Br2 after structural relaxation (PBE, OQMD via LeMat-Bulk).

For the total moment, the calculation gives 0.0 μB per cell. The calculation puts the calculated total energy at -5.198 eV per atom.

It has space group P3m1 (No. 156), with a = 4.1229 Å, b = 4.1229 Å, c = 11.3939 Å, α = 90.00°, β = 90.00° and γ = 120.00°. The inequivalent atoms are Pr at (0.0000, 0.0000, 0.0000), Sm at (0.0000, 0.0000, 0.6491), Si at (0.3333, 0.6667, 0.8277), Si at (0.6667, 0.3333, 0.8147), Br at (0.3333, 0.6667, 0.4868) and Br at (0.6667, 0.3333, 0.1683).


(4)
# TbPrSi2Br2

TbPrSi2Br2 after structural relaxation (PBE, OQMD via LeMat-Bulk).

For the total moment, the calculation gives 0.0 μB per cell. The calculation puts the calculated total energy at -5.169 eV per atom.

It has space group P3m1 (No. 156), with a = 4.1004 Å, b = 4.1004 Å, c = 11.2853 Å, α = 90.00°, β = 90.00° and γ = 120.00°. The inequivalent atoms are Tb at (0.0000, 0.0000, 0.0000), Pr at (0.0000, 0.0000, 0.3496), Si at (0.3333, 0.6667, 0.1758), Si at (0.6667, 0.3333, 0.1616), Br at (0.3333, 0.6667, 0.8401) and Br at (0.6667, 0.3333, 0.5206).


(5)
# Pr4ZnBr5

Pr4ZnBr5 after structural relaxation (PBE, OQMD via LeMat-Bulk).

For the total moment, the calculation gives 0.0 μB per cell. The calculation puts the calculated total energy at -4.222 eV per atom.

It has space group C2/m (No. 12), with a = 18.893 Å, b = 4.098 Å, c = 8.982 Å, α = 90.00°, β = 102.84° and γ = 90.00°. The inequivalent atoms are Pr at (0.001, 0.000, 0.235), Pr at (0.156, 0.500, 0.080), Zn at (0.000, 0.500, 0.000), Br at (0.000, 0.500, 0.500), Br at (0.167, 0.000, 0.331) and Br at (0.171, 0.000, 0.833).


(6)
# PtBr4

PtBr4 after structural relaxation (PBE, OQMD via LeMat-Bulk).

For the total moment, the calculation gives 0.0 μB per cell. The calculation puts the calculated total energy at -2.701 eV per atom.

It has space group Cmmm (No. 65), with a = 8.179 Å, b = 8.763 Å, c = 3.761 Å, α = 90.00°, β = 90.00° and γ = 90.00°. The inequivalent atoms are Pt at (0.000, 0.000, 0.000), Br at (0.000, 0.192, 0.500) and Br at (0.194, 0.500, 0.000).


(7)
# Pt2Br

Pt2Br after structural relaxation (PBE, OQMD via LeMat-Bulk).

For the total moment, the calculation gives 3.2 μB per cell. The calculation puts the calculated total energy at -3.197 eV per atom. For the energy above the most stable polymorph in this dataset, the calculation gives 615 meV/atom.

It has space group Fd-3m (No. 227, origin choice 2), with a = 10.781 Å, b = 10.781 Å, c = 10.781 Å, α = 90.00°, β = 90.00° and γ = 90.00°. The inequivalent atoms are Pt at (0.000, 0.000, 0.000) and Br at (0.125, 0.125, 0.125).


(8)
# PtBr

PtBr after structural relaxation (PBE, OQMD via LeMat-Bulk).

For the total moment, the calculation gives 0.0 μB per cell. The calculation puts the calculated total energy at -3.052 eV per atom.

It has space group P6_3/mmc (No. 194), with a = 3.7824 Å, b = 3.7824 Å, c = 6.4416 Å, α = 90.00°, β = 90.00° and γ = 120.00°. The inequivalent atoms are Pt at (0.3333, 0.6667, 0.2500) and Br at (0.0000, 0.0000, 0.0000).


(9)
# Pt2Br

Pt2Br after structural relaxation (PBE, OQMD via LeMat-Bulk).

For the total moment, the calculation gives 0.1 μB per cell. The calculation puts the calculated total energy at -3.812 eV per atom. For the energy above the most stable polymorph in this dataset, the calculation gives 0 meV/atom.

It has space group Fd-3m (No. 227, origin choice 2), with a = 7.679 Å, b = 7.679 Å, c = 7.679 Å, α = 90.00°, β = 90.00° and γ = 90.00°. The inequivalent atoms are Pt at (0.000, 0.000, 0.000) and Br at (0.125, 0.125, 0.625).


(10)
# PtBr

PtBr after structural relaxation (PBE, OQMD via LeMat-Bulk).

For the total moment, the calculation gives 0.0 μB per cell. The calculation puts the calculated total energy at -3.207 eV per atom.

It has space group F-43m (No. 216), with a = 5.843 Å, b = 5.843 Å, c = 5.843 Å, α = 90.00°, β = 90.00° and γ = 90.00°. The inequivalent atoms are Pt at (0.000, 0.000, 0.000) and Br at (0.250, 0.250, 0.250).


(11)
# Rb3PtBr6

Rb3PtBr6 after structural relaxation (PBE, OQMD via LeMat-Bulk).

For the total moment, the calculation gives 3.8 μB per cell. The calculation puts the calculated total energy at -2.955 eV per atom.

It has space group Fm-3m (No. 225), with a = 11.426 Å, b = 11.426 Å, c = 11.426 Å, α = 90.00°, β = 90.00° and γ = 90.00°. The inequivalent atoms are Rb at (0.000, 0.000, 0.000), Rb at (0.250, 0.250, 0.250), Pt at (0.000, 0.000, 0.500) and Br at (0.000, 0.000, 0.276).


(12)
# Rb2TlPtBr6

Rb2TlPtBr6 after structural relaxation (PBE, OQMD via LeMat-Bulk).

For the total moment, the calculation gives 0.0 μB per cell. The calculation puts the calculated total energy at -2.979 eV per atom.

It has space group C2/m (No. 12), with a = 12.676 Å, b = 7.876 Å, c = 7.662 Å, α = 90.00°, β = 116.02° and γ = 90.00°. The inequivalent atoms are Rb at (0.219, 0.000, 0.216), Tl at (0.000, 0.000, 0.500), Pt at (0.000, 0.500, 0.000), Br at (0.053, 0.275, 0.824) and Br at (0.233, 0.500, 0.293).


(13)
# Sc2Pt4Br

Sc2Pt4Br after structural relaxation (PBE, OQMD via LeMat-Bulk).

For the total moment, the calculation gives 0.0 μB per cell. The calculation puts the calculated total energy at -6.167 eV per atom.

It has space group C2/m (No. 12), with a = 8.779 Å, b = 7.325 Å, c = 4.308 Å, α = 90.00°, β = 102.39° and γ = 90.00°. The inequivalent atoms are Sc at (0.194, 0.000, 0.341), Pt at (0.114, 0.191, 0.797) and Br at (0.000, 0.500, 0.500).


(14)
# PtSe2Br2

PtSe2Br2 after structural relaxation (PBE, OQMD via LeMat-Bulk).

For the total moment, the calculation gives 0.0 μB per cell. The calculation puts the calculated total energy at -3.391 eV per atom.

It has space group P-1 (No. 2), with a = 6.303 Å, b = 7.417 Å, c = 7.490 Å, α = 60.71°, β = 67.11° and γ = 85.05°. The inequivalent atoms are Pt at (0.140, 0.494, 0.175), Se at (0.005, 0.246, 0.107), Se at (0.260, 0.374, 0.737), Br at (0.305, 0.751, 0.232) and Br at (0.340, 0.205, 0.359).


(15)
# Sn2PtBr6

Sn2PtBr6 after structural relaxation (PBE, OQMD via LeMat-Bulk).

For the total moment, the calculation gives 0.0 μB per cell. The calculation puts the calculated total energy at -3.223 eV per atom.

It has space group P2_1/c (No. 14), with a = 9.499 Å, b = 6.720 Å, c = 8.640 Å, α = 90.00°, β = 90.51° and γ = 90.00°. The inequivalent atoms are Sn at (0.221, 0.033, 0.410), Pt at (0.500, 0.000, 0.000), Br at (0.056, 0.146, 0.666), Br at (0.260, 0.630, 0.539) and Br at (0.440, 0.197, 0.645).


(16)
# TePtBr8

TePtBr8 after structural relaxation (PBE, OQMD via LeMat-Bulk).

For the total moment, the calculation gives 0.2 μB per cell. The calculation puts the calculated total energy at -2.460 eV per atom.

It has space group P-1 (No. 2), with a = 7.682 Å, b = 9.373 Å, c = 10.338 Å, α = 88.10°, β = 69.79° and γ = 83.80°. The inequivalent atoms are Te at (0.132, 0.254, 0.222), Pt at (0.487, 0.889, 0.191), Br at (0.111, 0.811, 0.548), Br at (0.112, 0.695, 0.896), Br at (0.151, 0.509, 0.293), Br at (0.212, 0.948, 0.125), Br at (0.261, 0.188, 0.727), Br at (0.400, 0.429, 0.591), Br at (0.422, 0.109, 0.329) and Br at (0.435, 0.324, 0.958).


(17)
# Te2PtBr

Te2PtBr after structural relaxation (PBE, OQMD via LeMat-Bulk).

For the total moment, the calculation gives 0.0 μB per cell. The calculation puts the calculated total energy at -3.895 eV per atom.

It has space group C2/m (No. 12), with a = 7.094 Å, b = 4.087 Å, c = 7.620 Å, α = 90.00°, β = 102.99° and γ = 90.00°. The inequivalent atoms are Te at (0.205, 0.000, 0.178), Pt at (0.000, 0.500, 0.000) and Br at (0.000, 0.000, 0.500).


(18)
# Tl3PtBr

Tl3PtBr after structural relaxation (PBE, OQMD via LeMat-Bulk).

For the total moment, the calculation gives 0.0 μB per cell. The calculation puts the calculated total energy at -3.365 eV per atom.

It has space group Pm-3m (No. 221), with a = 5.372 Å, b = 5.372 Å, c = 5.372 Å, α = 90.00°, β = 90.00° and γ = 90.00°. The inequivalent atoms are Tl at (0.000, 0.000, 0.500), Pt at (0.000, 0.000, 0.000) and Br at (0.500, 0.500, 0.500).


(19)
# Tl3PtBr

Tl3PtBr after structural relaxation (PBE, OQMD via LeMat-Bulk).

For the total moment, the calculation gives 0.0 μB per cell. The calculation puts the calculated total energy at -3.365 eV per atom.

It has space group P1 (No. 1), with a = 7.593 Å, b = 7.598 Å, c = 7.599 Å, α = 60.05°, β = 60.03° and γ = 60.02°. The inequivalent atoms are Tl at (0.000, 0.000, 0.000), Tl at (0.002, 0.503, 0.502), Tl at (0.007, 0.495, 0.004), Tl at (0.498, 0.999, 0.500), Tl at (0.503, 0.991, 0.001), Tl at (0.506, 0.494, 0.503), Pt at (0.253, 0.247, 0.752), Pt at (0.753, 0.747, 0.252), Br at (0.005, 0.996, 0.503) and Br at (0.502, 0.499, 0.003).


(20)
# Tm2PtBr6

Tm2PtBr6 after structural relaxation (PBE, OQMD via LeMat-Bulk).

For the total moment, the calculation gives 0.0 μB per cell. The calculation puts the calculated total energy at -4.110 eV per atom.

It has space group P2_1/c (No. 14), with a = 11.494 Å, b = 6.594 Å, c = 7.230 Å, α = 90.00°, β = 105.14° and γ = 90.00°. The inequivalent atoms are Tm at (0.247, 0.061, 0.486), Pt at (0.500, 0.000, 0.500), Br at (0.091, 0.207, 0.698), Br at (0.236, 0.696, 0.670) and Br at (0.409, 0.180, 0.873).


(21)
# PuBr

PuBr after structural relaxation (PBE, OQMD via LeMat-Bulk).

For the total moment, the calculation gives 27.5 μB per cell. The calculation puts the calculated total energy at -8.486 eV per atom.

It has space group F-43m (No. 216), with a = 6.697 Å, b = 6.697 Å, c = 6.697 Å, α = 90.00°, β = 90.00° and γ = 90.00°. The inequivalent atoms are Pu at (0.000, 0.000, 0.000) and Br at (0.250, 0.250, 0.250).


(22)
# PuBr

PuBr after structural relaxation (PBE, OQMD via LeMat-Bulk).

For the total moment, the calculation gives 6.5 μB per cell. The calculation puts the calculated total energy at -8.801 eV per atom.

It has space group P-6m2 (No. 187), with a = 3.6028 Å, b = 3.6028 Å, c = 4.6923 Å, α = 90.00°, β = 90.00° and γ = 120.00°. The inequivalent atoms are Pu at (0.0000, 0.0000, 0.0000) and Br at (0.3333, 0.6667, 0.5000).


(23)
# PuBr2

PuBr2 after structural relaxation (PBE, OQMD via LeMat-Bulk).

For the total moment, the calculation gives 12.0 μB per cell. The calculation puts the calculated total energy at -7.270 eV per atom.

It has space group P4_2/mnm (No. 136), with a = 7.143 Å, b = 7.143 Å, c = 4.246 Å, α = 90.00°, β = 90.00° and γ = 90.00°. The inequivalent atoms are Pu at (0.000, 0.000, 0.000) and Br at (0.206, 0.206, 0.500).


(24)
# PuBr4

PuBr4 after structural relaxation (PBE, OQMD via LeMat-Bulk).

For the total moment, the calculation gives 16.0 μB per cell. The calculation puts the calculated total energy at -5.463 eV per atom.

It has space group C2/c (No. 15), with a = 13.362 Å, b = 8.208 Å, c = 7.177 Å, α = 90.00°, β = 91.85° and γ = 90.00°. The inequivalent atoms are Pu at (0.000, 0.145, 0.250), Br at (0.115, 0.110, 0.926) and Br at (0.126, 0.366, 0.395).


(25)
# PuBr2

PuBr2 after structural relaxation (PBE, OQMD via LeMat-Bulk).

For the total moment, the calculation gives 48.0 μB per cell. The calculation puts the calculated total energy at -7.061 eV per atom.

It has space group Fd-3m (No. 227, origin choice 2), with a = 13.139 Å, b = 13.139 Å, c = 13.139 Å, α = 90.00°, β = 90.00° and γ = 90.00°. The inequivalent atoms are Pu at (0.125, 0.125, 0.125) and Br at (0.000, 0.000, 0.000).